NdZrCd2Au4: relaxed, GGA-PBE.

Calculated values
The size of the total moment is 0.00 μB/cell. Its calculated density is 12.33 g/cm³. The crystal system is tetragonal. Its space-group type is P4/mmm. As for the formation energy from the elements: -552 meV per atom.

abc: 4.931 4.931 6.913
angles: 90.00 90.00 90.00
Atoms (fractional coordinates):
Au 0.500 0.000 0.270
Au 0.000 0.500 0.270
Au 0.500 0.000 0.730
Au 0.000 0.500 0.730
Cd 0.500 0.500 0.000
Cd 0.000 0.000 0.500
Nd 0.000 0.000 0.000
Zr 0.500 0.500 0.500